A relaxed structure of LaTbSi2Pt2, computed with PBE.

Cell and atoms, written as POSCAR:
```
LaTbSi2Pt2
1.0
4.190 0.000 0.000
-2.095 3.629 0.000
0.000 0.000 8.410
Si Pt Tb La
2 2 1 1
direct
0.333 0.667 0.259
0.667 0.333 0.741
0.667 0.333 0.267
0.333 0.667 0.733
0.000 0.000 0.500
0.000 0.000 0.000
```

Properties
- crystal system = trigonal
- uncorrected formation energy (kcal/mol of atoms) = -26.45
- density of states at the Fermi level (states/eV/cell) = 4.68